28
Lattice="5.257 -2.917 0.000 5.257 2.917 0.000 -0.788 0.000 9.812" Properties=species:S:1:pos:R:3 comment="Li4Nb2Cr3Cu3O16 (GGA+U, optimized geometry)" space_group=Cm dft_energy_ev_per_cell=-190.51 crystal_system=monoclinic pbc="T T T"
Li 0.000 0.000 0.000
Li -0.118 0.000 4.967
Li 3.221 0.000 5.739
Li 6.875 0.000 0.913
Nb 3.487 0.000 0.043
Nb 6.957 0.000 4.862
Cr 4.220 1.437 2.722
Cr 4.220 -1.437 2.722
Cr 8.128 0.000 7.605
Cu 1.621 0.000 2.727
Cu 5.560 1.447 7.628
Cu 5.560 -1.447 7.628
O -0.091 0.000 1.823
O 2.593 1.312 1.486
O 3.418 1.490 8.924
O 0.887 0.000 8.794
O 3.286 0.000 3.713
O 5.873 1.431 3.928
O 4.936 0.000 1.492
O 2.593 -1.312 1.486
O 5.092 0.000 6.445
O 7.524 1.296 6.222
O 3.418 -1.490 8.924
O 6.344 0.000 8.529
O 5.873 -1.431 3.928
O 8.624 0.000 3.840
O 7.524 -1.296 6.222
O 9.962 0.000 6.793